Compound: Hf4BiP
Source: Alexandria via LeMat-Bulk
Functional: PBE-GGA
Structure: optimized geometry

abc: 6.595 6.574 7.453
angles: 113.17 113.27 96.18
Positions (direct):
Bi1 0.579 0.329 0.658
Bi2 0.421 0.671 0.342
Hf1 0.893 0.672 0.645
Hf2 0.367 0.637 0.892
Hf3 0.252 0.973 0.645
Hf4 0.633 0.363 0.108
Hf5 0.107 0.328 0.355
Hf6 0.748 0.027 0.355
Hf7 0.976 0.746 0.108
Hf8 0.024 0.254 0.892
P1 0.276 0.026 0.052
P2 0.724 0.974 0.948

Summary:
V (Å³ per atom): 21.61
ΔH_f (0 K) (eV/atom): -0.3579
D(E_F) (states/eV/atom): 0.66